Entry one
5
Lattice="5.6421 0.0000 0.0000 0.0000 5.6421 0.0000 0.0000 0.0000 3.7182" Properties=species:S:1:pos:R:3 comment="ZrTe2BrN | the Alexandria database | PBE | relaxed" spacegroup="P4/mmm (123)" dos_at_fermi_per_ev_cell=4.21 pbc="T T T"
Zr 0.0000 0.0000 0.0000
Te 0.0000 2.8211 1.8591
Te 2.8211 0.0000 1.8591
Br 2.8211 2.8211 1.8591
N 2.8211 2.8211 0.0000

***

Entry two
5
Lattice="5.8164 0.0000 0.0000 0.0000 5.8164 0.0000 0.0000 0.0000 4.0549" Properties=species:S:1:pos:R:3 comment="ZrTe2BrN | the Alexandria database | PBE | relaxed" spacegroup="P4/mmm (123)" dos_at_fermi_per_ev_cell=6.25 pbc="T T T"
Zr 0.0000 0.0000 0.0000
Te 0.0000 2.9082 0.0000
Te 2.9082 0.0000 0.0000
Br 2.9082 2.9082 2.0275
N 0.0000 0.0000 2.0275

***

Most stable: entry two. Least stable: entry one.

***

Entry one
4
Lattice="1.5733 0.9083 6.1781 -1.5733 0.9083 6.1781 0.0000 -1.8167 6.1781" Properties=species:S:1:pos:R:3 comment="TiBrN2 | the Alexandria database | PBE | relaxed" spacegroup="R-3m (166)" dos_at_fermi_per_ev_cell=2.09 pbc="T T T"
Ti 0.0000 0.0000 0.0000
Br 0.0000 0.0000 9.2671
N 0.0000 0.0000 7.2099
N 0.0000 0.0000 11.3243

***

Entry two
4
Lattice="0.0000 2.8342 2.8342 2.8342 0.0000 2.8342 2.8342 2.8342 0.0000" Properties=species:S:1:pos:R:3 comment="TiBrN2 | the Alexandria database | PBE | relaxed" spacegroup="Fm-3m (225)" dos_at_fermi_per_ev_cell=4.81 pbc="T T T"
Ti 0.0000 0.0000 0.0000
Br 2.8342 2.8342 2.8342
N 1.4171 1.4171 1.4171
N 4.2512 4.2512 4.2512

***

Entry three
8
Lattice="-2.6632 2.6632 4.7425 2.6632 -2.6632 4.7425 2.6632 2.6632 -4.7425" Properties=species:S:1:pos:R:3 comment="TiBrN2 | the Alexandria database | PBE | relaxed" spacegroup="I-42d (122)" dos_at_fermi_per_ev_cell=10.72 pbc="T T T"
Ti 0.0000 0.0000 0.0000
Ti 0.0000 2.6632 2.3713
Br 2.6632 0.0000 2.3713
Br 0.0000 0.0000 4.7425
N 3.9948 0.7050 -1.1856
N 0.7050 1.3316 1.1856
N -1.3316 1.9582 3.5569
N 1.9582 1.3316 5.9282

***

Most stable: entry one. Least stable: entry two.

***

Entry one
8
Lattice="-3.7123 3.7123 4.9916 3.7123 -3.7123 4.9916 3.7123 3.7123 -4.9916" Properties=species:S:1:pos:R:3 comment="TiBr2N | the Alexandria database | PBE | relaxed" spacegroup="I-42d (122)" dos_at_fermi_per_ev_cell=10.80 pbc="T T T"
Ti 0.0000 0.0000 0.0000
Ti 0.0000 3.7123 2.4958
Br 5.5684 1.2135 -1.2479
Br 1.2135 1.8561 1.2479
Br -1.8561 2.4988 3.7437
Br 2.4988 1.8561 6.2395
N 3.7123 0.0000 2.4958
N 0.0000 0.0000 4.9916

***

Entry two
4
Lattice="1.8396 1.0621 10.6483 -1.8396 1.0621 10.6483 0.0000 -2.1242 10.6483" Properties=species:S:1:pos:R:3 comment="TiBr2N | the Alexandria database | PBE | relaxed" spacegroup="R-3m (166)" dos_at_fermi_per_ev_cell=1.24 pbc="T T T"
Ti 0.0000 0.0000 0.0000
Br 0.0000 0.0000 2.3349
Br 0.0000 0.0000 29.6100
N 0.0000 0.0000 15.9724

***

Entry three
4
Lattice="1.7265 0.9968 7.6032 -1.7265 0.9968 7.6032 0.0000 -1.9935 7.6032" Properties=species:S:1:pos:R:3 comment="TiBr2N | the Alexandria database | PBE | relaxed" spacegroup="R-3m (166)" dos_at_fermi_per_ev_cell=7.21 pbc="T T T"
Ti 0.0000 0.0000 0.0000
Br 0.0000 0.0000 9.3078
Br 0.0000 0.0000 13.5018
N 0.0000 0.0000 11.4048

***

Most stable: entry one. Least stable: entry two.